(1)
First-principles (meta-GGA SCAN) data for La2TiCrO6 at its PBEsol-relaxed geometry, as listed in the Alexandria database.

Cell: 5.4408 5.4408 5.4408 Å, 61.00 61.00 61.00°
Last column: nearest neighbours and their distance in Å.
Fractional coordinates of all 10 atoms:
La  0.2491  0.2491  0.2491  3 O 2.44
La  0.7509  0.7509  0.7509  3 O 2.44
Ti  0.5000  0.5000  0.5000  6 O 1.98
Cr  0.0000  0.0000  0.0000  6 O 1.96
O  0.1899  0.7515  0.3075  1 Cr 1.96, 1 Ti 1.98
O  0.2485  0.6925  0.8101  1 Cr 1.96, 1 Ti 1.98
O  0.3075  0.1899  0.7515  1 Cr 1.96, 1 Ti 1.98
O  0.6925  0.8101  0.2485  1 Cr 1.96, 1 Ti 1.98
O  0.7515  0.3075  0.1899  1 Cr 1.96, 1 Ti 1.98
O  0.8101  0.2485  0.6925  1 Cr 1.96, 1 Ti 1.98

Values from the calculation:
Fermi-level density of states = 0.242 states/eV per atom
raw formation energy = -3.408 eV per atom
electronic total energy = -19.209 eV per atom

(2)
First-principles (meta-GGA SCAN) data for La3Ti3CrO12 at its PBEsol-relaxed geometry, as listed in the Alexandria database.

Cell: 5.4331 5.4677 7.7189 Å, 90.28 90.06 90.08°
Last column: nearest neighbours and their distance in Å.
Fractional coordinates of all 19 atoms:
La  0.0000  0.0000  0.0000  6 O 2.45-2.66
La  0.0137  0.0045  0.4874  7 O 2.41-2.67
La  0.5154  0.5061  0.4766  5 O 2.41-2.58
Ti  0.0105  0.5079  0.7454  6 O 1.88-2.02
Ti  0.0114  0.5099  0.2300  6 O 1.91-2.00
Ti  0.5084  0.0114  0.7536  5 O 1.82-2.01
Cr  0.5083  0.0080  0.2352  6 O 1.93-1.97
O  0.0091  0.4470  0.9846  2 Ti 1.88-1.92
O  0.0106  0.5629  0.4868  2 Ti 2.00-2.02
O  0.2288  0.7938  0.7586  2 Ti 1.93-1.96
O  0.2456  0.7711  0.2170  1 Ti 1.91, 1 Cr 1.93
O  0.2555  0.2557  0.2733  1 Cr 1.95, 1 Ti 1.95
O  0.2669  0.2755  0.6930  2 Ti 1.93-2.01
O  0.5021  0.9463  0.4857  1 Cr 1.97, 1 Ti 2.10
O  0.5141  0.0569  0.9877  1 Ti 1.82, 1 Cr 1.93
O  0.7603  0.7679  0.7527  2 Ti 1.91-1.97
O  0.7671  0.2510  0.2749  1 Cr 1.96, 1 Ti 1.97
O  0.7667  0.7655  0.2206  1 Ti 1.93, 1 Cr 1.94
O  0.7693  0.2558  0.6953  2 Ti 1.94-2.00

Values from the calculation:
raw formation energy = -3.487 eV per atom
electronic total energy = -17.727 eV per atom

(3)
First-principles (meta-GGA SCAN) data for La2TiCrO6 at its PBEsol-relaxed geometry, as listed in the Alexandria database.

Cell: 5.4847 5.5008 9.4948 Å, 90.00 125.26 90.00°
Last column: nearest neighbours and their distance in Å.
Fractional coordinates of all 20 atoms:
La  0.2443  0.0335  0.2496  8 O 2.43-2.72
La  0.2443  0.4665  0.7496  8 O 2.43-2.72
La  0.7557  0.5335  0.2504  8 O 2.43-2.72
La  0.7557  0.9665  0.7504  8 O 2.43-2.72
Ti  0.5000  0.0000  0.0000  6 O 1.98-1.99
Ti  0.5000  0.5000  0.5000  6 O 1.98-1.99
Cr  0.0000  0.0000  0.5000  6 O 1.96-1.97
Cr  0.0000  0.5000  0.0000  6 O 1.96-1.97
O  0.1813  0.2178  0.9663  1 Cr 1.97, 1 Ti 1.99
O  0.1813  0.2822  0.4663  1 Cr 1.97, 1 Ti 1.99
O  0.2474  0.7161  0.9654  1 Cr 1.97, 1 Ti 1.99
O  0.2474  0.7839  0.4654  1 Cr 1.97, 1 Ti 1.99
O  0.3125  0.0083  0.7488  1 Cr 1.96, 1 Ti 1.98
O  0.3125  0.4917  0.2488  1 Cr 1.96, 1 Ti 1.98
O  0.6875  0.5083  0.7512  1 Cr 1.96, 1 Ti 1.98
O  0.6875  0.9917  0.2512  1 Cr 1.96, 1 Ti 1.98
O  0.7526  0.2161  0.5346  1 Cr 1.97, 1 Ti 1.99
O  0.7526  0.2839  0.0346  1 Cr 1.97, 1 Ti 1.99
O  0.8187  0.7178  0.5337  1 Cr 1.97, 1 Ti 1.99
O  0.8187  0.7822  0.0337  1 Cr 1.97, 1 Ti 1.99

Values from the calculation:
Fermi-level density of states = 0.231 states/eV per atom
raw formation energy = -3.414 eV per atom
electronic total energy = -19.215 eV per atom

(4)
First-principles (meta-GGA SCAN) data for LaCrWO6 at its PBEsol-relaxed geometry, as listed in the Alexandria database.

Cell: 5.3865 5.3944 5.3970 Å, 119.80 90.27 119.80°
Last column: nearest neighbours and their distance in Å.
Fractional coordinates of all 9 atoms:
La  0.0000  0.0000  0.0000  6 O 2.42-2.69
Cr  0.2520  0.5045  0.7563  6 O 1.92-1.94
W  0.7501  0.5043  0.2552  6 O 1.90-1.93
O  0.0044  0.4508  0.4476  1 W 1.93, 1 Cr 1.94
O  0.0198  0.0024  0.5376  1 W 1.92, 1 Cr 1.93
O  0.4800  0.0064  0.9812  1 W 1.91, 1 Cr 1.93
O  0.4979  0.5480  0.0550  1 W 1.90, 1 Cr 1.92
O  0.5303  0.5017  0.5328  1 W 1.91, 1 Cr 1.93
O  0.9794  0.5196  0.9859  1 W 1.92, 1 Cr 1.93

Values from the calculation:
raw formation energy = -2.790 eV per atom
electronic total energy = -21.520 eV per atom

(5)
First-principles (meta-GGA SCAN) data for LaCr3Os at its PBEsol-relaxed geometry, as listed in the Alexandria database.

Cell: 4.6573 4.6573 4.6573 Å, 90.00 90.00 90.00°
Last column: nearest neighbours and their distance in Å.
Fractional coordinates of all 5 atoms:
La  0.0000  0.0000  0.0000  12 Cr 3.29
Cr  0.0000  0.5000  0.5000  2 Os 2.33
Cr  0.5000  0.0000  0.5000  2 Os 2.33
Cr  0.5000  0.5000  0.0000  2 Os 2.33
Os  0.5000  0.5000  0.5000  6 Cr 2.33

Values from the calculation:
Fermi-level density of states = 0.856 states/eV per atom
electronic total energy = -33.495 eV per atom
formation enthalpy at 0 K = 0.53 eV per atom

(6)
First-principles (meta-GGA SCAN) data for LaCrOs2 at its PBEsol-relaxed geometry, as listed in the Alexandria database.

Cell: 2.7913 3.6499 6.9474 Å, 90.00 90.00 90.00°
Last column: nearest neighbours and their distance in Å.
Fractional coordinates of all 4 atoms:
La  0.0000  0.0000  0.0000  2 La 2.79
Cr  0.5000  0.5000  0.6526  5 Os 2.41-2.51
Os  0.0000  0.0000  0.5069  4 Cr 2.51, 6 Os 2.69-2.79
Os  0.5000  0.5000  0.3056  1 Cr 2.41, 4 Os 2.69

Values from the calculation:
Fermi-level density of states = 1.050 states/eV per atom
electronic total energy = -50.878 eV per atom
formation enthalpy at 0 K = 0.43 eV per atom

(7)
First-principles (meta-GGA SCAN) data for LaCr2Os at its PBEsol-relaxed geometry, as listed in the Alexandria database.

Cell: 6.4507 6.4507 6.4507 Å, 90.00 90.00 90.00°
Last column: nearest neighbours and their distance in Å.
Fractional coordinates of all 16 atoms:
La  0.0000  0.0000  0.0000  4 Cr 2.79, 4 Os 2.79
La  0.0000  0.5000  0.5000  4 Cr 2.79, 4 Os 2.79
La  0.5000  0.0000  0.5000  4 Cr 2.79, 4 Os 2.79
La  0.5000  0.5000  0.0000  4 Cr 2.79, 4 Os 2.79
Cr  0.0000  0.0000  0.5000  4 Cr 2.79, 4 Os 2.79
Cr  0.0000  0.5000  0.0000  4 Cr 2.79, 4 Os 2.79
Cr  0.2500  0.2500  0.7500  4 Cr 2.79, 4 La 2.79
Cr  0.2500  0.7500  0.2500  4 Cr 2.79, 4 La 2.79
Cr  0.5000  0.0000  0.0000  4 Cr 2.79, 4 Os 2.79
Cr  0.5000  0.5000  0.5000  4 Cr 2.79, 4 Os 2.79
Cr  0.7500  0.2500  0.2500  4 Cr 2.79, 4 La 2.79
Cr  0.7500  0.7500  0.7500  4 Cr 2.79, 4 La 2.79
Os  0.2500  0.2500  0.2500  4 Cr 2.79, 4 La 2.79
Os  0.2500  0.7500  0.7500  4 Cr 2.79, 4 La 2.79
Os  0.7500  0.2500  0.7500  4 Cr 2.79, 4 La 2.79
Os  0.7500  0.7500  0.2500  4 Cr 2.79, 4 La 2.79

Values from the calculation:
Fermi-level density of states = 1.072 states/eV per atom
electronic total energy = -37.545 eV per atom
formation enthalpy at 0 K = 0.39 eV per atom

(8)
First-principles (meta-GGA SCAN) data for La2CrOs at its PBEsol-relaxed geometry, as listed in the Alexandria database.

Cell: 3.0747 3.8219 8.0246 Å, 90.00 95.90 90.00°
Last column: nearest neighbours and their distance in Å.
Fractional coordinates of all 4 atoms:
La  0.0000  0.0000  0.0000  1 Cr 2.84, 2 Os 2.99, 2 La 3.07
La  0.2550  0.5000  0.5891  1 Os 2.90, 2 Cr 2.97, 2 La 3.07
Cr  0.8246  0.0000  0.3402  2 Os 2.30
Os  0.4642  0.5000  0.2444  2 Cr 2.30

Values from the calculation:
Fermi-level density of states = 1.032 states/eV per atom
electronic total energy = -43.864 eV per atom
formation enthalpy at 0 K = 0.25 eV per atom

(9)
First-principles (meta-GGA SCAN) data for La2CrOs at its PBEsol-relaxed geometry, as listed in the Alexandria database.

Cell: 4.0714 4.0714 19.8232 Å, 90.00 90.00 120.00°
Last column: nearest neighbours and their distance in Å.
Fractional coordinates of all 12 atoms:
La  0.0000  0.0000  0.0000  3 Os 2.93, 3 Cr 3.27
La  0.0000  0.0000  0.2009  3 Cr 2.91, 3 Os 3.24
La  0.3333  0.6667  0.6667  3 Os 2.93, 3 Cr 3.27
La  0.3333  0.6667  0.8676  3 Cr 2.91, 3 Os 3.24
La  0.6667  0.3333  0.3333  3 Os 2.93, 3 Cr 3.27
La  0.6667  0.3333  0.5342  3 Cr 2.91, 3 Os 3.24
Cr  0.0000  0.0000  0.7813  3 Os 2.41
Cr  0.3333  0.6667  0.4480  3 Os 2.41
Cr  0.6667  0.3333  0.1147  3 Os 2.41
Os  0.0000  0.0000  0.4214  3 Cr 2.41
Os  0.3333  0.6667  0.0880  3 Cr 2.41
Os  0.6667  0.3333  0.7547  3 Cr 2.41

Values from the calculation:
Fermi-level density of states = 0.992 states/eV per atom
electronic total energy = -44.098 eV per atom
formation enthalpy at 0 K = 0.02 eV per atom

(10)
First-principles (meta-GGA SCAN) data for LaCrOs2 at its PBEsol-relaxed geometry, as listed in the Alexandria database.

Cell: 4.6287 4.6287 3.2456 Å, 90.00 90.00 90.00°
Last column: nearest neighbours and their distance in Å.
Fractional coordinates of all 4 atoms:
La  0.0000  0.0000  0.0000  8 Os 2.83
Cr  0.5000  0.5000  0.0000  8 Os 2.83
Os  0.0000  0.5000  0.5000  4 Cr 2.83, 4 La 2.83
Os  0.5000  0.0000  0.5000  4 Cr 2.83, 4 La 2.83

Values from the calculation:
Fermi-level density of states = 1.113 states/eV per atom
electronic total energy = -50.716 eV per atom
formation enthalpy at 0 K = 0.60 eV per atom

(11)
First-principles (meta-GGA SCAN) data for LaCr2Os at its PBEsol-relaxed geometry, as listed in the Alexandria database.

Cell: 2.8967 3.5112 6.9157 Å, 90.00 90.00 90.00°
Last column: nearest neighbours and their distance in Å.
Fractional coordinates of all 4 atoms:
La  0.0000  0.0000  0.0000  2 La 2.90
Cr  0.5000  0.5000  0.3446  1 Cr 2.15
Cr  0.5000  0.5000  0.6554  1 Cr 2.15
Os  0.0000  0.0000  0.5000  8 Cr 2.52

Values from the calculation:
Fermi-level density of states = 1.002 states/eV per atom
electronic total energy = -37.454 eV per atom
formation enthalpy at 0 K = 0.48 eV per atom

(12)
First-principles (meta-GGA SCAN) data for LaCrOs2S at its PBEsol-relaxed geometry, as listed in the Alexandria database.

Cell: 4.3070 4.3070 5.8227 Å, 90.00 90.00 90.00°
Last column: nearest neighbours and their distance in Å.
Fractional coordinates of all 5 atoms:
La  0.0000  0.0000  0.0000  2 Cr 2.91, 4 S 3.05
Cr  0.0000  0.0000  0.5000  4 Os 2.15
Os  0.0000  0.5000  0.5000  2 Cr 2.15
Os  0.5000  0.0000  0.5000  2 Cr 2.15
S  0.5000  0.5000  0.0000  4 La 3.05

Values from the calculation:
Fermi-level density of states = 0.606 states/eV per atom
raw formation energy = 0.804 eV per atom
electronic total energy = -42.171 eV per atom